Computed, not measured: a relaxed LaNp2NiN4 crystal at the PBE-GGA level of DFT.

abc: 5.904 5.904 11.422
angles: 90.00 90.00 145.63
Fractional positions:
1 La 0.101 0.899 0.750
2 La 0.899 0.101 0.250
3 Np 0.370 0.630 0.558
4 Np 0.370 0.630 0.942
5 Np 0.630 0.370 0.058
6 Np 0.630 0.370 0.442
7 Ni 0.166 0.834 0.250
8 Ni 0.834 0.166 0.750
9 N 0.000 0.000 0.000
10 N 0.000 0.000 0.500
11 N 0.261 0.739 0.107
12 N 0.261 0.739 0.393
13 N 0.436 0.564 0.750
14 N 0.564 0.436 0.250
15 N 0.739 0.261 0.607
16 N 0.739 0.261 0.893

Calculated density ... 10.75 g cm⁻³
Volume ... 14.1 A^3/atom
Magnetic moment ... 10.0 μB per cell
Energy relative to the elements, uncorrected ... -825 kJ/mol of formula units
Electronic total energy ... -78.4 eV per formula unit

Computed, not measured: a relaxed Be3PdAu crystal at the PBE-GGA level of DFT.

abc: 4.264 4.264 4.264
angles: 90.00 90.00 90.00
Fractional positions:
1 Be 0.000 0.000 0.500
2 Be 0.000 0.500 0.000
3 Be 0.500 0.000 0.000
4 Pd 0.500 0.500 0.500
5 Au 0.000 0.000 0.000

Calculated density ... 7.08 g cm⁻³
Volume ... 15.5 A^3/atom
ΔE_f ... 2.6 eV/f.u.
Magnetic moment ... 0.0 μB per cell
Electronic total energy ... -17.0 eV per formula unit
ΔE to the lowest computed polymorph ... 804.4 meV per atom

Question: Which value of volume does entry 1 give?
Answer: 14.1 A^3/atom